! PBE Ta3Ga2, optimized geometry; values from VASP
&SYSTEM
  ibrav = 0, nat = 20, ntyp = 2
/
ATOMIC_SPECIES
Ta 180.95 Ta.upf
Ga 69.72 Ga.upf
CELL_PARAMETERS angstrom
10.260 0.000 0.000
0.000 3.584 0.000
0.000 0.000 9.729
ATOMIC_POSITIONS crystal
Ta 0.033 0.250 0.108
Ta 0.103 0.750 0.582
Ta 0.188 0.250 0.790
Ta 0.312 0.750 0.290
Ta 0.397 0.250 0.082
Ta 0.467 0.750 0.608
Ta 0.533 0.250 0.392
Ta 0.603 0.750 0.918
Ta 0.688 0.250 0.710
Ta 0.812 0.750 0.210
Ta 0.897 0.250 0.418
Ta 0.967 0.750 0.892
Ga 0.058 0.750 0.312
Ga 0.211 0.750 0.009
Ga 0.289 0.250 0.509
Ga 0.442 0.250 0.812
Ga 0.558 0.750 0.188
Ga 0.711 0.750 0.491
Ga 0.789 0.250 0.991
Ga 0.942 0.250 0.688
! ΔE_f, kJ/mol of formula units: 0
! ΔE to the lowest computed polymorph, eV per atom: 0.2819
! Space group: Pnma
! Crystal system: orthorhombic